Record 1
## FeCuI6 (PBE-GGA)

Data for an optimized crystal structure of FeCuI6.

Cell and atoms, written as CIF:
```
data_FeCuI6
_chemical_formula_sum 'Fe1 Cu1 I6'
_space_group_name_H-M_alt 'P 1'
_space_group_IT_number 1
_cell_length_a 8.2597
_cell_length_b 8.2957
_cell_length_c 6.9315
_cell_angle_alpha 126.76
_cell_angle_beta 110.03
_cell_angle_gamma 55.07
loop_
_space_group_symop_operation_xyz
'x,y,z'
loop_
_atom_site_label
_atom_site_fract_x
_atom_site_fract_y
_atom_site_fract_z
Fe1 0.0000 0.0000 0.0000
Cu1 0.5000 0.5000 0.0000
I1 0.7804 0.8678 0.0000
I2 0.2384 0.8901 0.3244
I3 0.2196 0.1322 0.0000
I4 0.7615 0.4343 0.3244
I5 0.7615 0.1099 0.6756
I6 0.2384 0.5657 0.6756
```

Calculated values
Its volume is 312 Å³/cell. The energy relative to the elements, uncorrected comes out at 0.001 eV/atom. The offset from the most stable computed form comes out at 0 meV per atom.

***

Record 2
## FeCu2I6 (PBE-GGA)

Data for an optimized crystal structure of FeCu2I6.

Cell and atoms, written as CIF:
```
data_FeCu2I6
_chemical_formula_sum 'Fe2 Cu4 I12'
_space_group_name_H-M_alt 'P 1'
_space_group_IT_number 1
_cell_length_a 7.1777
_cell_length_b 10.8103
_cell_length_c 10.8103
_cell_angle_alpha 88.00
_cell_angle_beta 109.33
_cell_angle_gamma 109.33
loop_
_space_group_symop_operation_xyz
'x,y,z'
loop_
_atom_site_label
_atom_site_fract_x
_atom_site_fract_y
_atom_site_fract_z
Fe1 0.2500 0.7506 0.2494
Fe2 0.7500 0.2494 0.7506
Cu1 0.0690 0.3234 0.1776
Cu2 0.4310 0.8224 0.6766
Cu3 0.9310 0.6766 0.8224
Cu4 0.5690 0.1776 0.3234
I1 0.2147 0.1675 0.3333
I2 0.2853 0.6667 0.8325
I3 0.7853 0.8325 0.6667
I4 0.7147 0.3333 0.1675
I5 0.8718 0.2449 0.5549
I6 0.6282 0.4451 0.7551
I7 0.1282 0.7551 0.4451
I8 0.3718 0.5549 0.2449
I9 0.0717 0.2540 0.9460
I10 0.4283 0.0540 0.7460
I11 0.9283 0.7460 0.0540
I12 0.5717 0.9460 0.2540
```

Calculated values
Its volume is 744 Å³/cell. The energy relative to the elements, uncorrected comes out at -0.143 eV/atom.

***

Record 3
## FeCu3I (PBE-GGA)

Data for an optimized crystal structure of FeCu3I.

Cell and atoms, written as CIF:
```
data_FeCu3I
_chemical_formula_sum 'Fe1 Cu3 I1'
_space_group_name_H-M_alt 'P 1'
_space_group_IT_number 1
_cell_length_a 4.6192
_cell_length_b 4.6192
_cell_length_c 4.6192
_cell_angle_alpha 90.00
_cell_angle_beta 90.00
_cell_angle_gamma 90.00
loop_
_space_group_symop_operation_xyz
'x,y,z'
loop_
_atom_site_label
_atom_site_fract_x
_atom_site_fract_y
_atom_site_fract_z
I1 0.5000 0.5000 0.5000
Fe1 0.0000 0.0000 0.0000
Cu1 0.0000 0.5000 0.0000
Cu2 0.0000 0.0000 0.5000
Cu3 0.5000 0.0000 0.0000
```

Calculated values
Its volume is 99 Å³/cell. The energy relative to the elements, uncorrected comes out at 0.969 eV/atom. The offset from the most stable computed form comes out at 0 meV per atom.

***

Look up the volume of the first one.
312 Å³/cell

***

Number 2 is which compound?
FeCu2I6

***

Look up the volume of the second one.
744 Å³/cell